# Si4Ru5 (PBE, relaxed)
data_Si4Ru5
_chemical_formula_sum 'Si8 Ru10'
_symmetry_space_group_name_H-M 'P 1'
_symmetry_Int_Tables_number 1
_cell_length_a 7.169
_cell_length_b 7.169
_cell_length_c 5.375
_cell_angle_alpha 90.00
_cell_angle_beta 90.00
_cell_angle_gamma 120.00
loop_
_symmetry_equiv_pos_as_xyz
'x,y,z'
loop_
_atom_site_label
_atom_site_fract_x
_atom_site_fract_y
_atom_site_fract_z
Ru1 0.280 0.280 0.250
Ru2 0.720 0.000 0.250
Ru3 0.000 0.280 0.750
Si1 0.000 0.000 0.500
Ru4 0.333 0.667 0.500
Ru5 0.000 0.720 0.250
Ru6 0.333 0.667 0.000
Ru7 0.667 0.333 0.000
Si2 0.387 0.387 0.750
Ru8 0.280 0.000 0.750
Si3 0.000 0.613 0.750
Ru9 0.720 0.720 0.750
Si4 0.613 0.613 0.250
Ru10 0.667 0.333 0.500
Si5 0.000 0.387 0.250
Si6 0.387 0.000 0.250
Si7 0.000 0.000 0.000
Si8 0.613 0.000 0.750
# crystal system = hexagonal
# uncorrected energy = -7.94 eV per atom
# total magnetic moment = 0.00 Bohr magnetons per cell

# Si23Ru4 (PBE, relaxed)
data_Si23Ru4
_chemical_formula_sum 'Si46 Ru8'
_symmetry_space_group_name_H-M 'P 1'
_symmetry_Int_Tables_number 1
_cell_length_a 10.024
_cell_length_b 10.024
_cell_length_c 10.024
_cell_angle_alpha 90.00
_cell_angle_beta 90.00
_cell_angle_gamma 90.00
loop_
_symmetry_equiv_pos_as_xyz
'x,y,z'
loop_
_atom_site_label
_atom_site_fract_x
_atom_site_fract_y
_atom_site_fract_z
Si1 0.182 0.818 0.818
Si2 0.188 0.500 0.385
Si3 0.812 0.500 0.385
Ru1 0.000 0.750 0.500
Si4 0.500 0.250 0.000
Ru2 0.500 0.500 0.500
Si5 0.000 0.312 0.115
Si6 0.500 0.615 0.188
Ru3 0.750 0.500 0.000
Si7 0.182 0.182 0.182
Si8 0.318 0.318 0.318
Si9 0.000 0.500 0.750
Si10 0.385 0.812 0.500
Si11 0.312 0.115 0.000
Si12 0.818 0.182 0.182
Si13 0.500 0.385 0.812
Si14 0.182 0.818 0.182
Si15 0.615 0.812 0.500
Ru4 0.000 0.250 0.500
Si16 0.885 0.000 0.312
Si17 0.115 0.000 0.688
Ru5 0.250 0.500 0.000
Si18 0.750 0.000 0.500
Si19 0.682 0.682 0.682
Si20 0.115 0.000 0.312
Si21 0.818 0.818 0.818
Si22 0.885 0.000 0.688
Si23 0.000 0.688 0.885
Si24 0.000 0.500 0.250
Si25 0.682 0.682 0.318
Si26 0.818 0.818 0.182
Si27 0.318 0.318 0.682
Si28 0.000 0.312 0.885
Si29 0.182 0.182 0.818
Si30 0.318 0.682 0.318
Si31 0.682 0.318 0.682
Ru6 0.500 0.000 0.750
Si32 0.312 0.885 0.000
Si33 0.682 0.318 0.318
Si34 0.188 0.500 0.615
Si35 0.688 0.885 0.000
Si36 0.500 0.615 0.812
Si37 0.818 0.182 0.818
Si38 0.812 0.500 0.615
Si39 0.000 0.688 0.115
Si40 0.318 0.682 0.682
Si41 0.500 0.750 0.000
Si42 0.688 0.115 0.000
Ru7 0.000 0.000 0.000
Ru8 0.500 0.000 0.250
Si43 0.250 0.000 0.500
Si44 0.385 0.188 0.500
Si45 0.500 0.385 0.188
Si46 0.615 0.188 0.500
# crystal system = cubic
# uncorrected energy = -5.32 eV per atom
# total magnetic moment = 19.67 Bohr magnetons per cell

# Si3Ru (PBE, relaxed)
data_Si3Ru
_chemical_formula_sum 'Si3 Ru1'
_symmetry_space_group_name_H-M 'P 1'
_symmetry_Int_Tables_number 1
_cell_length_a 3.000
_cell_length_b 4.623
_cell_length_c 4.030
_cell_angle_alpha 90.00
_cell_angle_beta 90.00
_cell_angle_gamma 90.00
loop_
_symmetry_equiv_pos_as_xyz
'x,y,z'
loop_
_atom_site_label
_atom_site_fract_x
_atom_site_fract_y
_atom_site_fract_z
Si1 0.000 0.500 0.293
Si2 0.500 0.500 0.809
Ru1 0.000 0.000 0.043
Si3 0.500 0.000 0.522
# crystal system = orthorhombic
# uncorrected energy = -6.33 eV per atom
# total magnetic moment = 0.00 Bohr magnetons per cell

# Si2Ru (PBE, relaxed)
data_Si2Ru
_chemical_formula_sum 'Si16 Ru8'
_symmetry_space_group_name_H-M 'P 1'
_symmetry_Int_Tables_number 1
_cell_length_a 6.513
_cell_length_b 6.513
_cell_length_c 8.222
_cell_angle_alpha 90.00
_cell_angle_beta 90.00
_cell_angle_gamma 102.83
loop_
_symmetry_equiv_pos_as_xyz
'x,y,z'
loop_
_atom_site_label
_atom_site_fract_x
_atom_site_fract_y
_atom_site_fract_z
Si1 0.905 0.650 0.443
Si2 0.405 0.150 0.057
Si3 0.650 0.905 0.443
Ru1 0.312 0.312 0.318
Si4 0.595 0.850 0.943
Ru2 0.215 0.785 0.000
Si5 0.850 0.595 0.943
Ru3 0.285 0.715 0.500
Si6 0.350 0.095 0.557
Si7 0.822 0.076 0.725
Si8 0.924 0.178 0.275
Ru4 0.688 0.688 0.682
Si9 0.424 0.678 0.225
Ru5 0.812 0.812 0.182
Ru6 0.715 0.285 0.500
Si10 0.095 0.350 0.557
Si11 0.150 0.405 0.057
Si12 0.322 0.576 0.775
Si13 0.576 0.322 0.775
Si14 0.076 0.822 0.725
Ru7 0.785 0.215 0.000
Ru8 0.188 0.188 0.818
Si15 0.178 0.924 0.275
Si16 0.678 0.424 0.225
# crystal system = orthorhombic
# uncorrected energy = -7.25 eV per atom
# total magnetic moment = 0.00 Bohr magnetons per cell